[1]
The following is a GGA-PBE calculation of a geometry-optimized La2C2S structure, from the Alexandria database.

Formation energy (no corrections)   -0.9915 eV per atom
Total magnetic moment   0.000 μB/atom
Density of states at the Fermi level   0.332 states/eV per atom

Cell lengths 14.6235, 4.1113, 7.1331 Å; angles 90.00, 104.69, 90.00 degrees
Space group C2/c (No. 15)
One atom of each set of equivalent atoms:
La 0.1313 0.2204 0.1512 (multiplicity 8)
C 0.2200 0.3366 0.5343 (multiplicity 8)
S 0.0000 0.2789 0.7500 (multiplicity 4)


[2]
The following is a GGA-PBE calculation of a geometry-optimized Np3Al5H12 structure, from the Alexandria database.

Total energy   -95.65 eV/f.u.
Total magnetic moment   0.534 μB/atom
Density of states at the Fermi level   0.940 states/eV per atom

Cell lengths 11.7129, 11.7129, 11.7129 Å; angles 90.00, 90.00, 90.00 degrees
Space group Ia-3d (No. 230)
One atom of each set of equivalent atoms:
Np 0.0000 0.2500 0.1250 (multiplicity 24)
Al 0.0000 0.0000 0.0000 (multiplicity 16)
Al 0.0000 0.2500 0.3750 (multiplicity 24)
H 0.0181 0.0644 0.6497 (multiplicity 96)


[3]
The following is a GGA-PBE calculation of a geometry-optimized CaCdOs2Rh structure, from the Alexandria database.

E_form   1274.2 meV per atom
Total magnetic moment   0.000 μB/atom
Density of states at the Fermi level   1.018 states/eV per atom

Cell lengths 4.7386, 4.7386, 5.1078 Å; angles 90.00, 90.00, 90.00 degrees
Space group P4/mmm (No. 123)
One atom of each set of equivalent atoms:
Ca 0.0000 0.0000 0.0000 (multiplicity 1)
Cd 0.5000 0.5000 0.0000 (multiplicity 1)
Os 0.0000 0.5000 0.5000 (multiplicity 2)
Rh 0.0000 0.0000 0.5000 (multiplicity 1)


[4]
The following is a GGA-PBE calculation of a geometry-optimized Zr2CuW structure, from the Alexandria database.

E_form   212.6 meV per atom
Total magnetic moment   0.000 μB/atom
Density of states at the Fermi level   1.063 states/eV per atom
Distance to the lowest polymorph of the same formula   223 meV/atom

Cell lengths 3.6655, 4.3373, 9.1922 Å; angles 90.00, 90.00, 90.00 degrees
Space group Cmm2 (No. 35)
One atom of each set of equivalent atoms:
Zr 0.0000 0.0000 0.0000 (multiplicity 2)
Zr 0.0000 0.5000 0.3127 (multiplicity 2)
Cu 0.0000 0.0000 0.5431 (multiplicity 2)
W 0.0000 0.5000 0.7463 (multiplicity 2)